Below is a relaxed structure of Tb4Er2Mg, with properties calculated at the PBE level.

a = 5.9509 Å, b = 6.5450 Å, c = 11.4306 Å
α = 90.00°, β = 105.10°, γ = 90.00°
Atoms (fractional coordinates):
Tb  0.0211  0.2500  0.3745
Tb  0.1525  0.2500  0.9404
Tb  0.3592  0.0014  0.2135
Tb  0.3592  0.4986  0.2135
Tb  0.6408  0.5014  0.7865
Tb  0.6408  0.9986  0.7865
Tb  0.8475  0.7500  0.0596
Tb  0.9789  0.7500  0.6255
Er  0.2743  0.7500  0.9227
Er  0.4020  0.7500  0.4954
Er  0.5980  0.2500  0.5046
Er  0.7257  0.2500  0.0773
Mg  0.1463  0.2500  0.6647
Mg  0.8537  0.7500  0.3353

Results
* magnetization: 0.00 μB/f.u.
* total energy: -4.074 eV/atom
* V: 30.70 Å³ per atom
* calculated formation energy: 0.10 eV/atom